[1]
DFT (PBE) results for an optimized crystal structure of NaBeGaAu3. Values from VASP.

Quantum ESPRESSO input file:
```
&SYSTEM
  ibrav = 0, nat = 12, ntyp = 4
/
ATOMIC_SPECIES
Be 9.01 Be.upf
Ga 69.72 Ga.upf
Au 196.97 Au.upf
Na 22.99 Na.upf
ATOMIC_POSITIONS crystal
Be 0.750 0.004 0.993
Be 0.250 0.996 0.007
Ga 0.750 0.371 0.258
Ga 0.250 0.629 0.742
Au 0.250 0.819 0.362
Au 0.056 0.660 0.097
Au 0.750 0.181 0.638
Au 0.444 0.243 0.097
Au 0.944 0.340 0.903
Au 0.556 0.757 0.903
Na 0.250 0.238 0.524
Na 0.750 0.762 0.476
CELL_PARAMETERS angstrom
-1.072 -5.737 -0.259
0.282 -1.688 5.773
-6.401 0.349 3.554
```

space-group type	C2/c

[2]
DFT (PBE) results for an optimized crystal structure of HPt4. Values from VASP.

Quantum ESPRESSO input file:
```
&SYSTEM
  ibrav = 0, nat = 5, ntyp = 2
/
ATOMIC_SPECIES
Pt 195.08 Pt.upf
H 1.01 H.upf
ATOMIC_POSITIONS crystal
Pt 0.500 0.000 0.500
Pt 0.000 0.000 0.000
Pt 0.000 0.500 0.500
Pt 0.500 0.500 0.000
H 0.500 0.500 0.500
CELL_PARAMETERS angstrom
-1.409 0.551 -3.741
2.104 -3.203 -1.264
-3.142 -2.392 0.831
```

space-group type	Pm-3m

[3]
DFT (PBE) results for an optimized crystal structure of MgCr2In. Values from VASP.

Quantum ESPRESSO input file:
```
&SYSTEM
  ibrav = 0, nat = 4, ntyp = 3
/
ATOMIC_SPECIES
Cr 52.00 Cr.upf
In 114.82 In.upf
Mg 24.30 Mg.upf
ATOMIC_POSITIONS crystal
Cr 0.000 0.000 0.498
Cr 0.000 0.000 0.002
In 0.500 0.500 0.250
Mg 0.500 0.500 0.750
CELL_PARAMETERS angstrom
2.734 0.000 0.000
0.000 2.734 0.000
0.000 0.000 8.607
```

space-group type	P4/mmm

[4]
DFT (PBE) results for an optimized crystal structure of SrCa2NpO6. Values from VASP.

Quantum ESPRESSO input file:
```
&SYSTEM
  ibrav = 0, nat = 10, ntyp = 4
/
ATOMIC_SPECIES
Ca 40.08 Ca.upf
O 16.00 O.upf
Sr 87.62 Sr.upf
Np 237.00 Np.upf
ATOMIC_POSITIONS crystal
Ca 0.532 0.532 0.403
Ca 0.021 0.021 0.938
O 0.400 0.680 0.780
O 0.680 0.140 0.780
O 0.962 0.577 0.238
O 0.577 0.223 0.238
O 0.140 0.400 0.780
O 0.223 0.962 0.238
Sr 0.806 0.806 0.583
Np 0.321 0.321 0.037
CELL_PARAMETERS angstrom
-1.672 -0.828 5.627
-5.632 -1.364 1.249
-1.306 -5.764 1.887
```

raw formation energy	-3.000	eV per atom
space-group type	R3

E
In order: -19.00, -26.94, -20.80, -78.37
Unit: eV/f.u.